[1]
The following is a DFT calculation (PBE) of a relaxed structure of Pm5Ag4Hg.

abc: 3.744 3.744 18.767
angles: 90.00 90.00 90.00
Space group P4/mmm (No. 123)
Asymmetric unit:
Pm 0.000 0.000 0.000 [1 per cell]
Pm 0.000 0.000 0.199 [2 per cell]
Pm 0.000 0.000 0.397 [2 per cell]
Ag 0.500 0.500 0.099 [2 per cell]
Ag 0.500 0.500 0.297 [2 per cell]
Hg 0.500 0.500 0.500 [1 per cell]

Calculated values
- E: -3.859 eV/atom
- ΔH_f (0 K): -313 meV/atom



[2]
The following is a DFT calculation (PBE) of a relaxed structure of BeZn2Ni.

abc: 2.895 2.895 5.601
angles: 90.00 90.00 90.00
Space group P4/mmm (No. 123)
Asymmetric unit:
Be 0.000 0.000 0.000 [1 per cell]
Zn 0.500 0.500 0.245 [2 per cell]
Ni 0.000 0.000 0.500 [1 per cell]

Calculated values
- E: -3.054 eV/atom
- ΔH_f (0 K): -40 meV/atom



[3]
The following is a DFT calculation (PBE) of a relaxed structure of TcBIr2.

abc: 5.095 5.095 10.378
angles: 90.00 90.00 90.00
Space group I-42d (No. 122)
Asymmetric unit:
Tc 0.000 0.000 0.000 [4 per cell]
B 0.000 0.000 0.500 [4 per cell]
Ir 0.189 0.250 0.625 [8 per cell]

Calculated values
- E: -8.186 eV/atom
- ΔH_f (0 K): 505 meV/atom



[4]
The following is a DFT calculation (PBE) of a relaxed structure of Sr2LiMn.

abc: 3.913 3.913 8.767
angles: 90.00 90.00 90.00
Space group P4mm (No. 99)
Asymmetric unit:
Sr 0.000 0.000 0.000 [1 per cell]
Sr 0.500 0.500 0.373 [1 per cell]
Li 0.000 0.000 0.633 [1 per cell]
Mn 0.500 0.500 0.760 [1 per cell]

Calculated values
- Energy relative to the lowest polymorph listed for this composition: 29 meV/atom
- E: -3.258 eV/atom
- ΔH_f (0 K): 354 meV/atom



[5]
The following is a DFT calculation (PBE) of a relaxed structure of YCo2Ni2.

abc: 3.855 3.855 9.901
angles: 90.00 90.00 90.00
Space group I4/mmm (No. 139)
Asymmetric unit:
Y 0.000 0.000 0.000 [2 per cell]
Co 0.000 0.000 0.390 [4 per cell]
Ni 0.000 0.500 0.250 [4 per cell]

Calculated values
- Energy relative to the lowest polymorph listed for this composition: 0 meV/atom
- E: -6.537 eV/atom
- ΔH_f (0 K): -89 meV/atom



[6]
The following is a DFT calculation (PBE) of a relaxed structure of BeRe3Ag.

abc: 4.180 4.180 4.180
angles: 90.00 90.00 90.00
Space group Pm-3m (No. 221)
Asymmetric unit:
Be 0.000 0.000 0.000 [1 per cell]
Re 0.000 0.000 0.500 [3 per cell]
Ag 0.500 0.500 0.500 [1 per cell]

Calculated values
- Energy relative to the lowest polymorph listed for this composition: 0 meV/atom
- E: -7.778 eV/atom
- ΔH_f (0 K): 1007 meV/atom